Entry 1:
PBE TbCe2SnN5, optimized geometry; formation energy from raw total energies = -973 meV per atom; space-group type = No. 36; final energy = -7.877 eV per atom
1.0
3.530 0.000 0.000
-1.765 7.030 0.000
0.000 0.000 11.497
Tb Ce Sn N
2 4 2 10
Cartesian
1.765 3.658 5.576
0.000 3.372 11.324
1.765 5.184 8.454
0.000 1.954 8.228
0.000 1.846 2.705
1.765 5.076 2.480
1.765 0.041 11.301
0.000 6.989 5.553
0.000 5.362 1.016
1.765 3.151 9.639
0.000 6.461 9.312
0.000 3.970 7.334
1.765 6.000 6.100
1.765 1.668 6.764
0.000 3.879 3.891
1.765 0.569 3.563
1.765 3.060 1.586
0.000 1.030 0.351

Entry 2:
PBE TbCe2SnN, optimized geometry; formation energy from raw total energies = -975 meV per atom; space-group type = No. 123; final energy = -6.740 eV per atom; Fermi-level density of states = 8.5 states/eV per cell
1.0
4.905 0.000 0.000
0.000 4.878 0.000
0.000 0.000 4.878
Tb Ce Sn N
1 2 1 1
Cartesian
2.452 0.000 0.000
0.000 0.000 2.439
0.000 2.439 0.000
2.452 2.439 2.439
0.000 0.000 0.000

Entry 3:
PBE Ce6TcSn2N, optimized geometry; formation energy from raw total energies = -501 meV per atom; space-group type = No. 225; final energy = -6.731 eV per atom; Fermi-level density of states = 23.2 states/eV per cell
1.0
7.200 0.000 0.000
0.000 7.200 -0.001
3.599 3.599 5.089
Ce Tc Sn N
6 1 2 1
Cartesian
3.600 3.600 2.683
5.498 5.497 0.000
1.703 5.498 -0.001
5.497 1.702 -0.001
5.301 5.302 5.088
7.199 7.199 2.405
3.600 3.600 -0.001
7.200 3.600 2.544
3.600 7.199 2.544
0.000 0.000 0.000

We obtain total magnetization values of 0.0, 1.6, 2.3 μB per formula unit for the records listed above, in that order.